14
Lattice="6.873 0.779 0.064 2.920 6.271 0.064 3.650 2.628 11.713" Properties=species:S:1:pos:R:3 comment="La5NdAg | Alexandria | PBE | relaxed" delta_e_f_ev_per_atom=0.07 energy_ev_per_atom=-4.54 pbc="T T T"
La 5.394 3.622 6.338
La 7.988 6.034 2.200
La 8.049 6.056 5.505
La 4.693 5.732 2.993
La 10.122 7.026 11.361
La 10.081 6.975 8.056
La 3.362 2.703 3.786
La 8.750 3.946 8.849
La 5.455 3.644 9.643
La 3.321 2.652 0.481
Nd 6.786 2.825 2.993
Nd 6.658 6.853 8.849
Ag 0.000 0.000 0.000
Ag 1.825 1.314 5.857

***

11
Lattice="-4.504 2.507 2.789 -4.181 -2.527 -4.480 1.579 -9.157 4.624" Properties=species:S:1:pos:R:3 comment="La8Nd2Ag | Alexandria | PBE | relaxed" delta_e_f_ev_per_atom=-0.01 energy_ev_per_atom=-4.72 pbc="T T T"
La -3.539 -4.453 -1.712
La -3.566 -4.723 4.645
La -4.120 -7.629 0.204
La -2.985 -1.548 2.729
La -2.202 -7.627 3.300
La -4.903 -1.549 -0.367
La -1.107 -1.241 -0.672
La -5.998 -7.935 3.605
Ag -2.252 1.254 1.394
Nd -5.403 -4.604 1.571
Nd -1.702 -4.573 1.362

***

20
Lattice="-6.956 -0.663 -0.792 -2.333 -0.701 -10.148 -2.592 -10.109 0.005" Properties=species:S:1:pos:R:3 comment="La5Nd3Ag2 | Alexandria | PBE | relaxed" delta_e_f_ev_per_atom=0.13 energy_ev_per_atom=-4.34 pbc="T T T"
La -7.679 -5.902 -5.665
La -5.634 -5.481 -8.369
La -4.201 -5.571 -5.269
La -7.185 -8.370 -7.939
La -4.695 -3.104 -2.995
La -9.199 -8.949 -5.381
La -8.173 -3.435 -3.391
La -3.707 -8.038 -7.543
La -6.246 -5.992 -2.565
La -2.682 -2.524 -5.554
Ag -5.599 -3.475 -10.364
Ag -2.612 -0.688 -7.706
Ag -6.282 -7.998 -0.571
Ag -9.269 -10.785 -3.229
Nd -6.102 -2.137 -7.067
Nd -2.758 -6.720 -1.367
Nd -5.779 -9.336 -3.868
Nd -1.739 -0.166 -0.198
Nd -9.122 -4.753 -9.567
Nd -5.217 -0.497 -0.594

***

9
Lattice="-1.890 1.973 -2.333 -2.335 -8.096 -4.955 -5.763 2.760 7.847" Properties=species:S:1:pos:R:3 comment="La2Nd6Ag | Alexandria | PBE | relaxed" delta_e_f_ev_per_atom=0.10 energy_ev_per_atom=-4.49 pbc="T T T"
Nd -4.228 -7.124 -2.370
Nd -7.300 -1.579 -0.340
Nd -1.597 -1.276 -2.551
Nd -5.760 3.762 2.929
Nd -2.688 -1.783 0.899
Nd -2.627 -4.847 -4.737
La -5.632 0.251 2.244
La -4.356 -3.613 -1.686
Ag 0.000 0.000 0.000

***

14
Lattice="-4.699 0.526 3.011 2.624 -4.947 -0.257 8.872 4.024 13.143" Properties=species:S:1:pos:R:3 comment="La4NdAg2 | Alexandria | PBE | relaxed" delta_e_f_ev_per_atom=-0.09 energy_ev_per_atom=-4.40 pbc="T T T"
La 9.051 -0.562 11.625
La 3.171 2.635 12.326
La 7.057 -1.467 8.670
La -2.254 0.165 4.273
La -1.038 -2.211 1.377
La 3.626 -3.032 3.572
La -0.260 1.070 7.228
La 3.398 -0.199 7.949
Nd 1.184 -1.207 4.661
Nd 5.613 0.810 11.237
Ag 1.940 -3.794 1.079
Ag 5.307 -2.267 6.067
Ag 1.490 1.870 9.831
Ag 4.857 3.397 14.819

***

6
Lattice="-0.920 1.795 3.441 -3.173 -2.408 0.416 5.659 -6.601 4.954" Properties=species:S:1:pos:R:3 comment="LaNdAg4 | Alexandria | PBE | relaxed" delta_e_f_ev_per_atom=0.01 e_above_lowest_polymorph_mev_per_atom=279 energy_ev_per_atom=-3.51 pbc="T T T"
Ag -0.151 -2.862 1.462
Ag -2.202 -3.162 3.386
Ag 2.630 -6.105 3.896
Ag 0.589 -6.417 5.829
La 3.610 -6.885 6.877
Nd -0.347 -5.688 2.887

***

10
Lattice="4.213 0.000 0.000 0.000 4.213 0.000 0.000 0.000 19.397" Properties=species:S:1:pos:R:3 comment="La5Nd4Ag | Alexandria | PBE | relaxed" delta_e_f_ev_per_atom=0.05 energy_ev_per_atom=-4.61 pbc="T T T"
La 2.106 2.106 5.889
La 2.106 2.106 1.680
La 2.106 2.106 17.717
La 2.106 2.106 13.508
La 2.106 2.106 9.698
Nd 0.000 0.000 11.654
Nd 0.000 0.000 7.743
Nd 0.000 0.000 15.510
Nd 0.000 0.000 3.887
Ag 0.000 0.000 0.000

***

5
Lattice="-0.366 1.247 -3.519 3.644 -0.650 -0.609 -4.173 -11.147 -1.517" Properties=species:S:1:pos:R:3 comment="La2Nd2Ag | Alexandria | PBE | relaxed" delta_e_f_ev_per_atom=-0.09 e_above_lowest_polymorph_mev_per_atom=0 energy_ev_per_atom=-4.53 pbc="T T T"
Nd 0.103 -6.276 -4.234
Nd -0.998 -4.274 -1.411
Ag 0.000 0.000 0.000
La 1.211 -1.535 -2.669
La -2.106 -9.015 -2.976

***

12
Lattice="-3.665 1.070 4.317 -5.604 0.775 -1.102 -4.555 -8.528 2.093" Properties=species:S:1:pos:R:3 comment="LaNd2Ag9 | Alexandria | PBE | relaxed" delta_e_f_ev_per_atom=-0.17 energy_ev_per_atom=-3.51 pbc="T T T"
Ag -4.996 -1.381 1.862
Ag -6.986 -5.839 1.277
Ag -3.092 0.600 1.073
Ag -8.827 -5.302 3.446
Ag -10.732 -7.283 4.235
Ag -7.811 -0.992 1.309
Ag -6.912 -3.341 2.654
Ag -6.837 -0.844 4.031
Ag -6.013 -5.691 3.999
La 0.000 0.000 0.000
Nd -9.911 -2.167 3.663
Nd -3.912 -4.516 1.645

***

8
Lattice="0.440 2.803 -2.530 -1.168 -3.474 -4.052 -10.538 2.899 4.236" Properties=species:S:1:pos:R:3 comment="La2Nd3Ag3 | Alexandria | PBE | relaxed" delta_e_f_ev_per_atom=-0.16 energy_ev_per_atom=-4.25 pbc="T T T"
Nd -8.316 1.956 0.721
Nd 0.220 1.401 -1.265
Nd -2.950 0.272 -3.067
La -4.798 2.581 -0.830
La -6.468 -0.354 -1.516
Ag -2.490 0.585 0.216
Ag -8.776 1.642 -2.561
Ag -0.584 -1.737 -2.026

***

6
Lattice="3.818 0.000 0.000 0.000 5.520 -1.822 0.000 0.061 9.461" Properties=species:S:1:pos:R:3 comment="La3Nd2Ag | Alexandria | PBE | relaxed" delta_e_f_ev_per_atom=-0.05 energy_ev_per_atom=-4.58 pbc="T T T"
La 0.000 1.796 5.443
La 0.000 3.785 2.196
La 1.909 2.760 -0.911
Ag 0.000 0.000 0.000
Nd 1.909 0.787 2.384
Nd 1.909 4.795 5.255

***

12
Lattice="5.763 0.000 0.000 0.000 6.582 0.000 -2.881 0.000 10.549" Properties=species:S:1:pos:R:3 comment="La4NdAg | Alexandria | PBE | relaxed" delta_e_f_ev_per_atom=0.01 e_above_lowest_polymorph_mev_per_atom=80 energy_ev_per_atom=-4.55 pbc="T T T"
Nd 0.000 1.275 2.776
Nd 2.881 4.566 7.773
La 2.881 3.668 3.911
La 0.000 4.221 5.193
La 2.881 2.495 0.805
La 2.881 1.354 9.265
La 0.000 0.378 6.638
La 0.000 5.786 9.744
La 0.000 4.645 1.284
La 2.881 0.930 5.356
Ag 0.000 3.002 8.231
Ag 2.881 6.293 2.318

***

What did the ninth record say?
12
Lattice="-3.665 1.070 4.317 -5.604 0.775 -1.102 -4.555 -8.528 2.093" Properties=species:S:1:pos:R:3 comment="LaNd2Ag9 | Alexandria | PBE | relaxed" delta_e_f_ev_per_atom=-0.17 energy_ev_per_atom=-3.51 pbc="T T T"
Ag -4.996 -1.381 1.862
Ag -6.986 -5.839 1.277
Ag -3.092 0.600 1.073
Ag -8.827 -5.302 3.446
Ag -10.732 -7.283 4.235
Ag -7.811 -0.992 1.309
Ag -6.912 -3.341 2.654
Ag -6.837 -0.844 4.031
Ag -6.013 -5.691 3.999
La 0.000 0.000 0.000
Nd -9.911 -2.167 3.663
Nd -3.912 -4.516 1.645